(1)
Here is a relaxed As3Cl crystal from Alexandria. Energies are from PBE.

## Properties
Its polymorph energy (0 for the lowest one) is 0.42 eV per formula unit. Its total energy is -30.7 eV/cell. For the total magnetic moment, the calculation gives 0.000 μB per formula unit. The value obtained for the raw formation energy is 43 kJ/mol of formula units.

Cell lengths 4.8109, 5.8150, 6.5933 Å; angles 90.00, 90.00, 90.00 degrees
With the nearest neighbours (Å) after each atom.
Fractional positions:
1 As 0.0000 0.7196 0.1385  2 As 2.55-2.56
2 As 0.0000 0.2804 0.1385  2 As 2.55-2.56
3 As 0.0000 0.5000 0.8027  2 As 2.56
4 Cl 0.5000 0.5000 0.4165  10 As 3.25-3.50
5 As 0.5000 0.0000 0.1973  2 As 2.56
6 As 0.5000 0.7804 0.8615  2 As 2.55-2.56
7 Cl 0.0000 0.0000 0.5835  10 As 3.25-3.50
8 As 0.5000 0.2196 0.8615  2 As 2.55-2.56

---

(2)
Here is a relaxed CuNi2W crystal from Alexandria. Energies are from PBE.

## Properties
Its polymorph energy (0 for the lowest one) is 0.40 eV per formula unit. Its total energy is -28.2 eV/cell. For the total magnetic moment, the calculation gives 0.000 μB per formula unit. The formation energy is 0.113 eV per atom.

Cell lengths 4.1217, 4.1217, 4.1217 Å; angles 60.00, 60.00, 60.00 degrees
With the nearest neighbours (Å) after each atom.
Fractional positions:
1 Ni 0.2500 0.2500 0.2500  4 W 2.52, 4 Cu 2.52
2 Cu 0.0000 0.0000 0.0000  8 Ni 2.52
3 Ni 0.7500 0.7500 0.7500  4 W 2.52, 4 Cu 2.52
4 W 0.5000 0.5000 0.5000  8 Ni 2.52

---

(3)
Here is a relaxed CsLiTe2 crystal from Alexandria. Energies are from PBE.

## Properties
Its polymorph energy (0 for the lowest one) is 0.08 eV per formula unit. Its total energy is -24.6 eV/cell. For the total magnetic moment, the calculation gives 0.000 μB per formula unit. The value obtained for the raw formation energy is -311 kJ/mol of formula units.

Cell lengths 8.7230, 5.0199, 7.9414 Å; angles 70.42, 79.94, 79.96 degrees
With the nearest neighbours (Å) after each atom.
Fractional positions:
1 Cs 0.3300 0.5314 0.6494  6 Te 3.80-4.19, 1 Li 4.06
2 Li 0.7552 0.2835 0.0031  4 Te 2.75-2.89
3 Te 0.2906 0.4787 0.1430  1 Li 2.77, 1 Te 2.97
4 Te 0.5647 0.1456 0.3265  2 Li 2.75-2.82, 1 Te 2.97
5 Te 0.0376 0.9596 0.9354  1 Li 2.78, 1 Te 2.85
6 Te 0.7643 0.8671 0.8217  3 Li 2.81-2.89, 1 Te 2.85
7 Cs 0.8901 0.5009 0.4222  6 Te 3.80-4.08, 2 Li 4.07-4.23
8 Li 0.5243 0.7993 0.1266  3 Te 2.77-2.88

---

(4)
Here is a relaxed CeNd2YEr crystal from Alexandria. Energies are from PBE.

## Properties
Its total energy is -50.2 eV/cell. For the total magnetic moment, the calculation gives 0.539 μB per formula unit. The formation energy is 0.283 eV per atom.

Cell lengths 8.2398, 6.7221, 6.1151 Å; angles 90.66, 90.00, 90.00 degrees
With the nearest neighbours (Å) after each atom.
Fractional positions:
1 Y 0.6437 0.0000 0.2500  6 Nd 3.30-3.57, 2 Ce 3.31
2 Nd 0.6937 0.2644 0.7545  1 Nd 3.17, 1 Y 3.30, 2 Ce 3.44-3.45
3 Ce 0.0000 0.0000 0.5000  2 Ce 3.06, 2 Y 3.31
4 Ce 0.0000 0.0000 0.0000  2 Ce 3.06, 2 Y 3.31
5 Er 0.8802 0.5000 0.2500  2 Er 3.64, 6 Nd 3.73-3.85, 4 Ce 3.81-3.84, 2 Y 3.89
6 Nd 0.3063 0.2644 0.2545  1 Nd 3.17, 1 Y 3.30, 2 Ce 3.44-3.45
7 Y 0.3563 0.0000 0.7500  6 Nd 3.30-3.57, 2 Ce 3.31
8 Nd 0.3063 0.7356 0.2455  1 Nd 3.17, 1 Y 3.30, 2 Ce 3.44-3.45
9 Nd 0.6937 0.7356 0.7455  1 Nd 3.17, 1 Y 3.30, 2 Ce 3.44-3.45
10 Er 0.1198 0.5000 0.7500  2 Er 3.64, 6 Nd 3.73-3.85, 4 Ce 3.81-3.84, 2 Y 3.89

---

(5)
Here is a relaxed MnVP2I crystal from Alexandria. Energies are from PBE.

## Properties
Its total energy is -21.9 eV/cell. For the total magnetic moment, the calculation gives 8.068 μB per formula unit. The value obtained for the raw formation energy is 841 kJ/mol of formula units.

Cell lengths 5.2399, 4.9704, 5.2399 Å; angles 90.00, 90.00, 90.00 degrees
With the nearest neighbours (Å) after each atom.
Fractional positions:
1 P 0.0000 0.0000 0.5000  2 I 2.62
2 P 0.5000 0.0000 0.0000  2 I 2.62
3 I 0.0000 0.0000 0.0000  2 V 2.49, 4 P 2.62
4 Mn 0.5000 0.5000 0.5000  8 P 3.61, 4 V 3.71
5 V 0.0000 0.5000 0.0000  2 I 2.49

---

(6)
Here is a relaxed BaMgZr crystal from Alexandria. Energies are from PBE.

## Properties
Its polymorph energy (0 for the lowest one) is 0.33 eV per formula unit. Its total energy is -11.0 eV/cell. For the total magnetic moment, the calculation gives 0.000 μB per formula unit. The formation energy is 0.342 eV per atom.

Cell lengths 8.1906, 8.1910, 3.4313 Å; angles 77.90, 77.92, 24.18 degrees
With the nearest neighbours (Å) after each atom.
Fractional positions:
1 Mg 0.3128 0.3128 0.6872  4 Zr 3.12, 4 Mg 3.43
2 Zr 0.6872 0.6872 0.3128  4 Mg 3.12, 4 Zr 3.43
3 Ba 0.0000 0.0000 0.0000  4 Ba 3.43, 4 Zr 3.80, 4 Mg 3.80

---

(7)
Here is a relaxed AcPm2Al6 crystal from Alexandria. Energies are from PBE.

## Properties
Its total energy is -39.8 eV/cell. For the total magnetic moment, the calculation gives 0.000 μB per formula unit. The formation energy is -0.416 eV per atom.

Cell lengths 3.9812, 7.9516, 7.9516 Å; angles 120.00, 90.00, 90.00 degrees
With the nearest neighbours (Å) after each atom.
Fractional positions:
1 Pm 0.0000 0.3333 0.6667  12 Al 3.30
2 Al 0.5000 0.0000 0.3374  3 Al 2.59-2.68
3 Ac 0.0000 0.0000 0.0000  12 Al 3.34
4 Al 0.5000 0.3374 0.0000  3 Al 2.59-2.68
5 Al 0.5000 0.3374 0.3374  3 Al 2.59-2.68
6 Al 0.5000 0.6626 0.0000  3 Al 2.59-2.68
7 Al 0.5000 0.6626 0.6626  3 Al 2.59-2.68
8 Pm 0.0000 0.6667 0.3333  12 Al 3.30
9 Al 0.5000 0.0000 0.6626  3 Al 2.59-2.68

---

(8)
Here is a relaxed Pu4PSe2S crystal from Alexandria. Energies are from PBE.

## Properties
Its total energy is -85.9 eV/cell. For the total magnetic moment, the calculation gives 22.215 μB per formula unit. The value obtained for the raw formation energy is -1168 kJ/mol of formula units.

Cell lengths 4.0691, 7.0933, 7.0333 Å; angles 70.63, 90.00, 90.00 degrees
With the nearest neighbours (Å) after each atom.
Fractional positions:
1 S 0.0000 0.5000 0.5000  6 Pu 2.83
2 Pu 0.5000 0.7349 0.2542  1 P 2.82, 2 S 2.83, 3 Se 2.94-2.95
3 Pu 0.0000 0.2651 0.2441  2 P 2.82, 1 S 2.83, 3 Se 2.94
4 P 0.5000 0.5000 0.0000  6 Pu 2.82
5 Se 0.0000 0.0000 0.0000  6 Pu 2.94
6 Pu 0.0000 0.7349 0.7559  2 P 2.82, 1 S 2.83, 3 Se 2.94
7 Pu 0.5000 0.2651 0.7458  1 P 2.82, 2 S 2.83, 3 Se 2.94-2.95
8 Se 0.5000 0.0000 0.5000  6 Pu 2.94-2.95